No. 1
This record from Alexandria via LeMat-Bulk describes crystalline YSnAs at its relaxed geometry. The functional is PBE.

Lattice parameters (Å, degrees): 8.172 8.172 8.172 36.13 36.13 36.13
Fractional coordinates of all 6 atoms:
Y (0.097, 0.097, 0.097)
Y (0.903, 0.903, 0.903)
Sn (0.341, 0.341, 0.341)
Sn (0.659, 0.659, 0.659)
As (0.222, 0.222, 0.222)
As (0.778, 0.778, 0.778)

Computed properties:
Uncorrected energy, eV per cell: -34.3



No. 2
This record from Alexandria via LeMat-Bulk describes crystalline Y2SnAs2 at its relaxed geometry. The functional is PBE.

Lattice parameters (Å, degrees): 8.634 8.634 8.634 153.89 153.89 37.26
Fractional coordinates of all 5 atoms:
Y (0.114, 0.114, 0.000)
Y (0.886, 0.886, 0.000)
Sn (0.500, 0.500, 0.000)
As (0.250, 0.750, 0.500)
As (0.750, 0.250, 0.500)

Computed properties:
Energy above the most stable polymorph in this dataset, eV/atom: 0.145



No. 3
This record from Alexandria via LeMat-Bulk describes crystalline Y2SnAs2 at its relaxed geometry. The functional is PBE.

Lattice parameters (Å, degrees): 7.943 7.943 3.827 90.00 90.00 90.00
Fractional coordinates of all 10 atoms:
Y (0.156, 0.344, 0.000)
Y (0.344, 0.844, 0.000)
Y (0.656, 0.156, 0.000)
Y (0.844, 0.656, 0.000)
Sn (0.000, 0.000, 0.500)
Sn (0.500, 0.500, 0.500)
As (0.148, 0.648, 0.500)
As (0.352, 0.148, 0.500)
As (0.648, 0.852, 0.500)
As (0.852, 0.352, 0.500)

Computed properties:
Energy above the most stable polymorph in this dataset, eV/atom: 0.000



No. 4
This record from Alexandria via LeMat-Bulk describes crystalline YSn2As at its relaxed geometry. The functional is PBE.

Lattice parameters (Å, degrees): 6.680 6.680 6.680 101.56 101.56 126.80
Fractional coordinates of all 8 atoms:
Y (0.000, 0.000, 0.000)
Y (0.750, 0.250, 0.500)
Sn (0.156, 0.125, 0.531)
Sn (0.375, 0.844, 0.969)
Sn (0.594, 0.625, 0.469)
Sn (0.875, 0.406, 0.031)
As (0.250, 0.750, 0.500)
As (0.500, 0.500, 0.000)

Computed properties:
Uncorrected energy, eV per cell: -40.6



No. 5
This record from Alexandria via LeMat-Bulk describes crystalline YSn2As2 at its relaxed geometry. The functional is PBE.

Lattice parameters (Å, degrees): 8.141 8.141 8.141 150.61 150.61 42.04
Fractional coordinates of all 5 atoms:
Y (0.000, 0.000, 0.000)
Sn (0.250, 0.750, 0.500)
Sn (0.750, 0.250, 0.500)
As (0.417, 0.417, 0.000)
As (0.583, 0.583, 0.000)

Computed properties:
Uncorrected energy, eV per cell: -25.3



No. 6
This record from Alexandria via LeMat-Bulk describes crystalline ZnSnAs at its relaxed geometry. The functional is PBE.

Lattice parameters (Å, degrees): 4.006 4.006 4.827 90.00 90.00 120.00
Fractional coordinates of all 3 atoms:
Zn (0.000, 0.000, 0.000)
Sn (0.667, 0.333, 0.395)
As (0.333, 0.667, 0.748)

Computed properties:
Uncorrected energy, eV per cell: -9.9



No. 7
This record from Alexandria via LeMat-Bulk describes crystalline Zn3SnAs at its relaxed geometry. The functional is PBE.

Lattice parameters (Å, degrees): 4.907 4.907 4.907 90.00 90.00 90.00
Fractional coordinates of all 5 atoms:
Zn (0.000, 0.000, 0.500)
Zn (0.000, 0.500, 0.000)
Zn (0.500, 0.000, 0.000)
Sn (0.500, 0.500, 0.500)
As (0.000, 0.000, 0.000)

Computed properties:
Energy above the most stable polymorph in this dataset, eV/atom: 0.000



No. 8
This record from Alexandria via LeMat-Bulk describes crystalline Zn2SnAs2 at its relaxed geometry. The functional is PBE.

Lattice parameters (Å, degrees): 6.342 6.342 6.342 140.06 140.06 57.76
Fractional coordinates of all 5 atoms:
Zn (0.110, 0.110, 0.000)
Zn (0.890, 0.890, 0.000)
Sn (0.500, 0.500, 0.000)
As (0.250, 0.750, 0.500)
As (0.750, 0.250, 0.500)

Computed properties:
Energy above the most stable polymorph in this dataset, eV/atom: 0.133



No. 9
This record from Alexandria via LeMat-Bulk describes crystalline ZnSn2As at its relaxed geometry. The functional is PBE.

Lattice parameters (Å, degrees): 11.052 11.052 11.052 16.38 16.38 16.38
Fractional coordinates of all 4 atoms:
Zn (0.000, 0.000, 0.000)
Sn (0.411, 0.411, 0.411)
Sn (0.589, 0.589, 0.589)
As (0.500, 0.500, 0.500)

Computed properties:
Energy above the most stable polymorph in this dataset, eV/atom: 0.115



No. 10
This record from Alexandria via LeMat-Bulk describes crystalline Zn3SnAs at its relaxed geometry. The functional is PBE.

Lattice parameters (Å, degrees): 5.133 5.133 5.133 90.00 90.00 90.00
Fractional coordinates of all 5 atoms:
Zn (0.000, 0.000, 0.500)
Zn (0.000, 0.500, 0.000)
Zn (0.500, 0.000, 0.000)
Sn (0.000, 0.000, 0.000)
As (0.500, 0.500, 0.500)

Computed properties:
Energy above the most stable polymorph in this dataset, eV/atom: 0.325



No. 11
This record from Alexandria via LeMat-Bulk describes crystalline ZnSn2As3 at its relaxed geometry. The functional is PBE.

Lattice parameters (Å, degrees): 7.386 7.386 7.746 99.99 99.99 120.40
Fractional coordinates of all 12 atoms:
Zn (0.081, 0.919, 0.500)
Zn (0.919, 0.081, 0.000)
Sn (0.250, 0.765, 0.008)
Sn (0.432, 0.598, 0.499)
Sn (0.598, 0.432, 0.999)
Sn (0.765, 0.250, 0.508)
As (0.140, 0.657, 0.633)
As (0.284, 0.454, 0.120)
As (0.454, 0.284, 0.620)
As (0.657, 0.140, 0.133)
As (0.834, 0.975, 0.654)
As (0.975, 0.834, 0.154)

Computed properties:
Uncorrected energy, eV per cell: -47.4



No. 12
This record from Alexandria via LeMat-Bulk describes crystalline ZnSn2As2 at its relaxed geometry. The functional is PBE.

Lattice parameters (Å, degrees): 8.744 8.744 8.744 155.10 155.10 35.50
Fractional coordinates of all 5 atoms:
Zn (0.000, 0.000, 0.000)
Sn (0.403, 0.403, 0.000)
Sn (0.597, 0.597, 0.000)
As (0.250, 0.750, 0.500)
As (0.750, 0.250, 0.500)

Computed properties:
Energy above the most stable polymorph in this dataset, eV/atom: 0.056



No. 13
This record from Alexandria via LeMat-Bulk describes crystalline ZnSn2As2 at its relaxed geometry. The functional is PBE.

Lattice parameters (Å, degrees): 8.053 8.053 3.653 90.00 90.00 90.00
Fractional coordinates of all 10 atoms:
Zn (0.000, 0.000, 0.000)
Zn (0.500, 0.500, 0.000)
Sn (0.151, 0.349, 0.000)
Sn (0.349, 0.849, 0.000)
Sn (0.651, 0.151, 0.000)
Sn (0.849, 0.651, 0.000)
As (0.145, 0.645, 0.500)
As (0.355, 0.145, 0.500)
As (0.645, 0.855, 0.500)
As (0.855, 0.355, 0.500)

Computed properties:
Energy above the most stable polymorph in this dataset, eV/atom: 0.053



No. 14
This record from Alexandria via LeMat-Bulk describes crystalline ZnSn4As2 at its relaxed geometry. The functional is PBE.

Lattice parameters (Å, degrees): 8.133 8.133 8.133 142.75 142.75 53.70
Fractional coordinates of all 7 atoms:
Zn (0.000, 0.000, 0.000)
Sn (0.000, 0.500, 0.500)
Sn (0.196, 0.196, 0.000)
Sn (0.500, 0.000, 0.500)
Sn (0.804, 0.804, 0.000)
As (0.379, 0.379, 0.000)
As (0.621, 0.621, 0.000)

Computed properties:
Uncorrected energy, eV per cell: -24.4



No. 15
This record from Alexandria via LeMat-Bulk describes crystalline Zn2SnAs2 at its relaxed geometry. The functional is PBE.

Lattice parameters (Å, degrees): 7.395 7.395 7.395 149.23 149.23 44.07
Fractional coordinates of all 5 atoms:
Zn (0.250, 0.750, 0.500)
Zn (0.750, 0.250, 0.500)
Sn (0.000, 0.000, 0.000)
As (0.375, 0.375, 0.000)
As (0.625, 0.625, 0.000)

Computed properties:
Energy above the most stable polymorph in this dataset, eV/atom: 0.000



No. 16
This record from Alexandria via LeMat-Bulk describes crystalline ZnSn2As2 at its relaxed geometry. The functional is PBE.

Lattice parameters (Å, degrees): 7.733 7.733 3.886 90.00 90.00 90.00
Fractional coordinates of all 10 atoms:
Zn (0.000, 0.000, 0.000)
Zn (0.500, 0.500, 0.000)
Sn (0.151, 0.349, 0.500)
Sn (0.349, 0.849, 0.500)
Sn (0.651, 0.151, 0.500)
Sn (0.849, 0.651, 0.500)
As (0.163, 0.663, 0.000)
As (0.337, 0.163, 0.000)
As (0.663, 0.837, 0.000)
As (0.837, 0.337, 0.000)

Computed properties:
Energy above the most stable polymorph in this dataset, eV/atom: 0.000



No. 17
This record from Alexandria via LeMat-Bulk describes crystalline ZnSn3As at its relaxed geometry. The functional is PBE.

Lattice parameters (Å, degrees): 5.174 5.174 5.174 90.00 90.00 90.00
Fractional coordinates of all 5 atoms:
Zn (0.000, 0.000, 0.000)
Sn (0.000, 0.000, 0.500)
Sn (0.000, 0.500, 0.000)
Sn (0.500, 0.000, 0.000)
As (0.500, 0.500, 0.500)

Computed properties:
Energy above the most stable polymorph in this dataset, eV/atom: 0.000



No. 18
This record from Alexandria via LeMat-Bulk describes crystalline Zn2SnAs2 at its relaxed geometry. The functional is PBE.

Lattice parameters (Å, degrees): 7.982 7.982 3.112 90.00 90.00 90.00
Fractional coordinates of all 10 atoms:
Zn (0.126, 0.374, 0.000)
Zn (0.374, 0.874, 0.000)
Zn (0.626, 0.126, 0.000)
Zn (0.874, 0.626, 0.000)
Sn (0.000, 0.000, 0.000)
Sn (0.500, 0.500, 0.000)
As (0.168, 0.668, 0.500)
As (0.332, 0.168, 0.500)
As (0.668, 0.832, 0.500)
As (0.832, 0.332, 0.500)

Computed properties:
Energy above the most stable polymorph in this dataset, eV/atom: 0.145



No. 19
This record from Alexandria via LeMat-Bulk describes crystalline ZnSn2As at its relaxed geometry. The functional is PBE.

Lattice parameters (Å, degrees): 7.487 7.487 7.487 130.07 130.07 73.29
Fractional coordinates of all 8 atoms:
Zn (0.000, 0.000, 0.000)
Zn (0.750, 0.250, 0.500)
Sn (0.118, 0.625, 0.993)
Sn (0.375, 0.368, 0.493)
Sn (0.632, 0.125, 0.007)
Sn (0.875, 0.882, 0.507)
As (0.250, 0.750, 0.500)
As (0.500, 0.500, 0.000)

Computed properties:
Energy above the most stable polymorph in this dataset, eV/atom: 0.000



No. 20
This record from Alexandria via LeMat-Bulk describes crystalline Zn3Sn12As5 at its relaxed geometry. The functional is PBE.

Lattice parameters (Å, degrees): 14.387 14.387 14.387 109.47 109.47 109.47
Fractional coordinates of all 80 atoms:
Zn (0.125, 0.250, 0.375)
Zn (0.125, 0.375, 0.750)
Zn (0.250, 0.375, 0.125)
Zn (0.250, 0.875, 0.625)
Zn (0.375, 0.125, 0.250)
Zn (0.375, 0.750, 0.125)
Zn (0.625, 0.250, 0.875)
Zn (0.625, 0.875, 0.750)
Zn (0.750, 0.125, 0.375)
Zn (0.750, 0.625, 0.875)
Zn (0.875, 0.625, 0.250)
Zn (0.875, 0.750, 0.625)
Sn (0.062, 0.237, 0.128)
Sn (0.062, 0.325, 0.934)
Sn (0.066, 0.628, 0.392)
Sn (0.066, 0.938, 0.675)
Sn (0.108, 0.737, 0.675)
Sn (0.108, 0.872, 0.434)
Sn (0.128, 0.062, 0.237)
Sn (0.128, 0.566, 0.892)
Sn (0.175, 0.237, 0.608)
Sn (0.175, 0.438, 0.566)
Sn (0.237, 0.128, 0.062)
Sn (0.237, 0.608, 0.175)
Sn (0.263, 0.325, 0.892)
Sn (0.263, 0.438, 0.372)
Sn (0.325, 0.892, 0.263)
Sn (0.325, 0.934, 0.062)
Sn (0.372, 0.263, 0.438)
Sn (0.372, 0.608, 0.934)
Sn (0.392, 0.066, 0.628)
Sn (0.392, 0.825, 0.763)
Sn (0.434, 0.108, 0.872)
Sn (0.434, 0.825, 0.562)
Sn (0.438, 0.372, 0.263)
Sn (0.438, 0.566, 0.175)
Sn (0.562, 0.434, 0.825)
Sn (0.562, 0.628, 0.737)
Sn (0.566, 0.175, 0.438)
Sn (0.566, 0.892, 0.128)
Sn (0.608, 0.175, 0.237)
Sn (0.608, 0.934, 0.372)
Sn (0.628, 0.392, 0.066)
Sn (0.628, 0.737, 0.562)
Sn (0.675, 0.066, 0.938)
Sn (0.675, 0.108, 0.737)
Sn (0.737, 0.562, 0.628)
Sn (0.737, 0.675, 0.108)
Sn (0.763, 0.392, 0.825)
Sn (0.763, 0.872, 0.938)
Sn (0.825, 0.562, 0.434)
Sn (0.825, 0.763, 0.392)
Sn (0.872, 0.434, 0.108)
Sn (0.872, 0.938, 0.763)
Sn (0.892, 0.128, 0.566)
Sn (0.892, 0.263, 0.325)
Sn (0.934, 0.062, 0.325)
Sn (0.934, 0.372, 0.608)
Sn (0.938, 0.675, 0.066)
Sn (0.938, 0.763, 0.872)
As (0.000, 0.000, 0.000)
As (0.000, 0.000, 0.500)
As (0.000, 0.500, 0.000)
As (0.000, 0.500, 0.500)
As (0.125, 0.750, 0.875)
As (0.125, 0.875, 0.250)
As (0.250, 0.125, 0.875)
As (0.250, 0.625, 0.375)
As (0.375, 0.250, 0.625)
As (0.375, 0.625, 0.750)
As (0.500, 0.000, 0.000)
As (0.500, 0.000, 0.500)
As (0.500, 0.500, 0.000)
As (0.500, 0.500, 0.500)
As (0.625, 0.375, 0.250)
As (0.625, 0.750, 0.375)
As (0.750, 0.375, 0.625)
As (0.750, 0.875, 0.125)
As (0.875, 0.125, 0.750)
As (0.875, 0.250, 0.125)

Computed properties:
Uncorrected energy, eV per cell: -291.2



No. 21
This record from Alexandria via LeMat-Bulk describes crystalline ZnSn2As at its relaxed geometry. The functional is PBE.

Lattice parameters (Å, degrees): 5.081 5.081 5.081 60.00 60.00 60.00
Fractional coordinates of all 4 atoms:
Zn (0.000, 0.000, 0.000)
Sn (0.250, 0.250, 0.250)
Sn (0.750, 0.750, 0.750)
As (0.500, 0.500, 0.500)

Computed properties:
Energy above the most stable polymorph in this dataset, eV/atom: 0.124



No. 22
This record from Alexandria via LeMat-Bulk describes crystalline Zr4Sn2As at its relaxed geometry. The functional is PBE.

Lattice parameters (Å, degrees): 8.403 8.403 8.403 146.46 146.46 48.17
Fractional coordinates of all 7 atoms:
Zr (0.000, 0.500, 0.500)
Zr (0.169, 0.169, 0.000)
Zr (0.500, 0.000, 0.500)
Zr (0.831, 0.831, 0.000)
Sn (0.361, 0.361, 0.000)
Sn (0.639, 0.639, 0.000)
As (0.000, 0.000, 0.000)

Computed properties:
Uncorrected energy, eV per cell: -48.0



Number 1: volume 169.73 Å³ per cell. Number 2: volume 124.46 Å³ per cell. Number 3: volume 241.44 Å³ per cell. Number 4: volume 213.38 Å³ per cell. Number 5: volume 129.59 Å³ per cell. Number 6: volume 67.07 Å³ per cell. Number 7: volume 118.18 Å³ per cell. Number 8: volume 104.20 Å³ per cell. Number 9: volume 93.65 Å³ per cell. Number 10: volume 135.24 Å³ per cell. Number 11: volume 341.54 Å³ per cell. Number 12: volume 118.38 Å³ per cell. Number 13: volume 236.89 Å³ per cell. Number 14: volume 195.81 Å³ per cell. Number 15: volume 105.55 Å³ per cell. Number 16: volume 232.37 Å³ per cell. Number 17: volume 138.48 Å³ per cell. Number 18: volume 198.23 Å³ per cell. Number 19: volume 239.90 Å³ per cell. Number 20: volume 2292.34 Å³ per cell. Number 21: volume 92.75 Å³ per cell. Number 22: volume 180.38 Å³ per cell.